## CsRbPPt (GGA-PBE)

Data for an optimized crystal structure of CsRbPPt. Values from VASP.

## Properties
**Raw total energy**: -3.68 eV/atom
**Symmetry**: No. 6
**Formation energy**: -1.46 eV per formula unit
**Magnetization**: 0.00 μB per formula unit

Geometry as Quantum ESPRESSO input:
```
&SYSTEM
  ibrav = 0, nat = 4, ntyp = 4
/
ATOMIC_SPECIES
Rb 85.47 Rb.upf
P 30.97 P.upf
Pt 195.08 Pt.upf
Cs 132.91 Cs.upf
ATOMIC_POSITIONS crystal
Rb 0.000 0.891 0.408
P 0.500 0.616 0.856
Pt 0.000 0.550 0.727
Cs 0.000 0.224 0.075
CELL_PARAMETERS angstrom
4.289 0.000 0.000
0.000 6.229 -0.003
0.000 -3.108 5.498
```